(1)
## YSc2Te (PBE)

Data for an optimized crystal structure of YSc2Te.

Unit cell a=9.6779 b=9.6779 c=9.6779 alpha=22.05 beta=22.05 gamma=22.05
With the nearest neighbours (Å) after each atom.
Element x y z (fractional)
Te  0.2500  0.2500  0.2500  6 Sc 2.92
Sc  0.9870  0.9870  0.9870  3 Te 2.92
Y  0.7500  0.7500  0.7500  6 Sc 3.47, 6 Y 3.70
Sc  0.5130  0.5130  0.5130  3 Te 2.92

Results
The raw formation energy is -409 meV per atom.

***

(2)
## LaErMgOs (PBE)

Data for an optimized crystal structure of LaErMgOs.

Unit cell a=5.0992 b=5.0992 c=5.0992 alpha=60.00 beta=60.00 gamma=60.00
With the nearest neighbours (Å) after each atom.
Element x y z (fractional)
Er  0.2500  0.2500  0.2500  4 Os 3.12, 4 Mg 3.12
Mg  0.0000  0.0000  0.0000  4 La 3.12, 4 Er 3.12
La  0.7500  0.7500  0.7500  4 Os 3.12, 4 Mg 3.12
Os  0.5000  0.5000  0.5000  4 La 3.12, 4 Er 3.12

Results
Its formation energy is -0.0505 eV/atom.

***

(3)
## KHg3Pt (PBE)

Data for an optimized crystal structure of KHg3Pt.

Unit cell a=4.6475 b=4.6475 c=20.0435 alpha=90.00 beta=90.00 gamma=120.00
With the nearest neighbours (Å) after each atom.
Element x y z (fractional)
Hg  0.0000  0.0000  0.2500  3 Pt 2.68
Hg  0.0000  0.0000  0.7500  3 Pt 2.68
K  0.0000  0.0000  0.5000  6 Hg 3.53
Hg  0.3333  0.6667  0.8858  1 Pt 2.72
Pt  0.3333  0.6667  0.7500  5 Hg 2.68-2.72
Pt  0.6667  0.3333  0.2500  5 Hg 2.68-2.72
K  0.0000  0.0000  0.0000  6 Hg 3.53
Hg  0.6667  0.3333  0.3858  1 Pt 2.72
Hg  0.3333  0.6667  0.6142  1 Pt 2.72
Hg  0.6667  0.3333  0.1142  1 Pt 2.72

Results
Its formation energy is 0.0064 eV/atom. As for the energy above the lowest structure with this stoichiometry: 275 meV per atom.

***

(4)
## VCr2Ir2 (PBE)

Data for an optimized crystal structure of VCr2Ir2.

Unit cell a=7.2300 b=7.2300 c=2.6727 alpha=90.00 beta=90.00 gamma=90.00
With the nearest neighbours (Å) after each atom.
Element x y z (fractional)
Ir  0.3693  0.8693  0.0000  6 Cr 2.46-2.55, 3 Ir 2.67
Ir  0.1307  0.3693  0.0000  6 Cr 2.46-2.55, 3 Ir 2.67
Ir  0.8693  0.6307  0.0000  6 Cr 2.46-2.55, 3 Ir 2.67
Cr  0.8322  0.3322  0.5000  6 Ir 2.46-2.55, 2 Cr 2.67
Cr  0.1678  0.6678  0.5000  6 Ir 2.46-2.55, 2 Cr 2.67
Cr  0.3322  0.1678  0.5000  6 Ir 2.46-2.55, 2 Cr 2.67
Ir  0.6307  0.1307  0.0000  6 Cr 2.46-2.55, 3 Ir 2.67
V  0.5000  0.5000  0.0000  2 V 2.67, 4 Ir 2.83
Cr  0.6678  0.8322  0.5000  6 Ir 2.46-2.55, 2 Cr 2.67
V  0.0000  0.0000  0.0000  2 V 2.67, 4 Ir 2.83

Results
Its formation energy is -0.0224 eV/atom. As for the energy above the lowest structure with this stoichiometry: 35 meV per atom.

***

(5)
## TlInHg2C (PBE)

Data for an optimized crystal structure of TlInHg2C.

Unit cell a=5.9545 b=4.0892 c=5.9545 alpha=90.00 beta=90.00 gamma=90.00
With the nearest neighbours (Å) after each atom.
Element x y z (fractional)
C  0.0000  0.5000  0.0000  2 In 2.04
Tl  0.5000  0.5000  0.5000  8 Hg 3.61
Hg  0.5000  0.0000  0.0000  2 In 2.98
In  0.0000  0.0000  0.0000  2 C 2.04
Hg  0.0000  0.0000  0.5000  2 In 2.98

Results
Its formation energy is 0.9723 eV/atom.

***

(6)
## MgBe2Ag (PBE)

Data for an optimized crystal structure of MgBe2Ag.

Unit cell a=4.2408 b=4.2408 c=4.2408 alpha=60.00 beta=60.00 gamma=60.00
With the nearest neighbours (Å) after each atom.
Element x y z (fractional)
Be  0.2500  0.2500  0.2500  4 Be 2.60, 4 Ag 2.60
Mg  0.7500  0.7500  0.7500  4 Be 2.60, 4 Ag 2.60
Be  0.0000  0.0000  0.0000  4 Mg 2.60, 4 Be 2.60
Ag  0.5000  0.5000  0.5000  4 Mg 2.60, 4 Be 2.60

Results
Its formation energy is 0.2603 eV/atom.

***

Across the entries above, M_tot takes the values 0.000; 0.000; 0.000; 0.000; 0.276; 0.000 μB/f.u., respectively.